CaAlBr: PBEsol geometry, SCAN.

DOS at the Fermi energy in states/eV/cell: 1.34
Total moment in Bohr magnetons per cell: 0.0
Uncorrected formation energy in kJ/mol of atoms: -14.2

a = 4.9309 Å, b = 4.9309 Å, c = 4.9309 Å
α = 60.00°, β = 60.00°, γ = 60.00°
Sites, in units of the cell vectors:
Ca1 0.0000 0.0000 0.0000
Al1 0.5000 0.5000 0.5000
Br1 0.2500 0.2500 0.2500

Cs2LaScC: PBEsol geometry, SCAN.

DOS at the Fermi energy in states/eV/cell: 4.78
Total moment in Bohr magnetons per cell: 1.5
Energy in eV/atom: -26.66

a = 5.5058 Å, b = 6.8481 Å, c = 6.8481 Å
α = 90.00°, β = 90.00°, γ = 90.00°
Last column: magnetic moment on the atom in μB.
Sites, in units of the cell vectors:
Cs1 0.0000 0.0000 0.5000  -0.01
Cs2 0.0000 0.5000 0.0000  -0.01
Sc1 0.0000 0.0000 0.0000  -0.35
C1 0.5000 0.5000 0.5000  1.11
La1 0.5000 0.0000 0.0000  -0.21